This record from Alexandria describes a PBEsol-optimized structure of LiFeNiO4. The functional is SCAN.

Structure (extended XYZ):
```
14
Lattice="-1.3714 1.2148 5.3839 3.6725 -4.1774 -1.1257 1.5777 5.1985 -0.7711" Properties=species:S:1:pos:R:3 pbc="T T T"
O 1.8145 2.6444 2.8692
O 2.7842 1.9639 0.2660
O 4.3656 0.0859 -0.2506
O -0.4868 2.1501 3.7377
O 1.0945 0.2720 3.2211
O 0.1265 1.6069 1.3301
O 2.0643 -0.4084 0.6179
O 3.7523 0.6291 2.1570
Fe 0.1031 3.2067 2.3064
Fe -0.6857 0.6074 2.6920
Li 1.7711 -1.4252 3.7764
Li 2.1077 3.6612 -0.2892
Ni 1.9394 1.1180 1.7436
Ni 2.6251 0.5106 -0.9484
```

The value obtained for the formation energy from raw total energies is -1610 meV/atom.